An optimized crystal structure of SrTl6Cd4. Source: Alexandria via LeMat-Bulk, functional PBE.

a b c (Å): 7.3819 7.3819 12.5957
angles (deg): 90.00 90.00 90.00
With the nearest neighbours (Å) after each atom.
Space group I-42m (No. 121)
Symmetry-distinct sites (fractional):
Sr (0.0000, 0.0000, 0.0000) [2 per cell]  8 Tl 3.69-3.72, 4 Cd 3.78
Tl (0.0000, 0.5000, 0.0000) [4 per cell]  4 Cd 3.01
Tl (0.2308, 0.2308, 0.6941) [8 per cell]  3 Cd 2.99-3.19
Cd (0.1545, 0.1545, 0.4112) [8 per cell]  5 Tl 2.99-3.19, 3 Cd 3.19-3.23

Calculated values
* total magnetization: 0.000 Bohr magnetons per cell
* DFT total energy: -38.9 eV for the cell shown
* formation energy from the elements: 0.08 eV/f.u.
* D(E_F): 0.38 states/eV per atom